# 1
Below is an optimized crystal structure of Ac2YF8, with properties calculated at the PBE-GGA level.

It has space group Immm (No. 71), with a = 4.069 Å, b = 5.534 Å, c = 15.638 Å, α = 90.00°, β = 90.00° and γ = 90.00°. The distinct sites, in fractional coordinates, are Ac at (0.000, 0.000, 0.155), Y at (0.000, 0.000, 0.500), F at (0.000, 0.242, 0.000), F at (0.000, 0.259, 0.387) and F at (0.000, 0.500, 0.238).

The mass density comes out at 6.6 g/cm³. The total moment is 0.06 μB/atom. As for the uncorrected formation energy: -3.877 eV per atom. The value obtained for the energy above the lowest structure with this stoichiometry is 28 meV/atom.

---

# 2
Below is an optimized crystal structure of Ac2YF, with properties calculated at the PBE-GGA level.

It has space group R-3m (No. 166, hexagonal axes), with a = 3.8987 Å, b = 3.8987 Å, c = 30.5308 Å, α = 90.00°, β = 90.00° and γ = 120.00°. The distinct sites, in fractional coordinates, are Ac at (0.0000, 0.0000, 0.1134), Y at (0.0000, 0.0000, 0.0000) and F at (0.0000, 0.0000, 0.5000).

The mass density comes out at 7.0 g/cm³. The total moment is 0.00 μB/atom. As for the uncorrected formation energy: -0.855 eV per atom.

---

# 3
Below is an optimized crystal structure of Ac2YF8, with properties calculated at the PBE-GGA level.

It has space group C2/m (No. 12), with a = 14.337 Å, b = 4.096 Å, c = 6.303 Å, α = 90.00°, β = 116.04° and γ = 90.00°. The distinct sites, in fractional coordinates, are Ac at (0.170, 0.000, 0.175), Y at (0.000, 0.500, 0.500), F at (0.028, 0.000, 0.726), F at (0.077, 0.500, 0.231), F at (0.170, 0.500, 0.916) and F at (0.215, 0.000, 0.605).

The mass density comes out at 6.9 g/cm³. The total moment is 0.09 μB/atom. As for the uncorrected formation energy: -3.904 eV per atom. The value obtained for the energy above the lowest structure with this stoichiometry is 0 meV/atom.

---

# 4
Below is an optimized crystal structure of Ac2YF11, with properties calculated at the PBE-GGA level.

It has space group Ibam (No. 72), with a = 9.122 Å, b = 10.766 Å, c = 11.577 Å, α = 90.00°, β = 90.00° and γ = 90.00°. The distinct sites, in fractional coordinates, are Ac at (0.174, 0.192, 0.000), Y at (0.000, 0.500, 0.250), F at (0.000, 0.000, 0.000), F at (0.095, 0.332, 0.153), F at (0.102, 0.180, 0.500) and F at (0.187, 0.435, 0.366).

The mass density comes out at 4.4 g/cm³. The total moment is 0.15 μB/atom. As for the uncorrected formation energy: -3.457 eV per atom.

---

# 5
Below is an optimized crystal structure of AcY2F11, with properties calculated at the PBE-GGA level.

It has space group Ibam (No. 72), with a = 8.516 Å, b = 10.447 Å, c = 12.138 Å, α = 90.00°, β = 90.00° and γ = 90.00°. The distinct sites, in fractional coordinates, are Ac at (0.000, 0.000, 0.250), Y at (0.155, 0.312, 0.000), F at (0.000, 0.500, 0.000), F at (0.110, 0.178, 0.136), F at (0.110, 0.302, 0.500) and F at (0.216, 0.079, 0.374).

The mass density comes out at 3.8 g/cm³. The total moment is 0.15 μB/atom. As for the uncorrected formation energy: -3.449 eV per atom.

---

# 6
Below is an optimized crystal structure of AcZn2F8, with properties calculated at the PBE-GGA level.

It has space group P-1 (No. 2), with a = 4.103 Å, b = 7.049 Å, c = 7.111 Å, α = 65.02°, β = 73.63° and γ = 73.53°. The distinct sites, in fractional coordinates, are Ac at (0.000, 0.000, 0.000), Zn at (0.199, 0.306, 0.308), F at (0.118, 0.169, 0.606), F at (0.131, 0.603, 0.147), F at (0.290, 0.710, 0.700) and F at (0.374, 0.122, 0.132).

The mass density comes out at 4.8 g/cm³. The total moment is 0.09 μB/atom. As for the uncorrected formation energy: -2.708 eV per atom. The value obtained for the energy above the lowest structure with this stoichiometry is 0 meV/atom.